La3NdDy12 after structural relaxation. Source: Alexandria via LeMat-Bulk, functional PBE.

Properties
E_form   28.1 meV per atom
Magnetic moment   0.0 μB/cell

Unit cell a=5.080 b=5.080 c=20.317 alpha=90.00 beta=90.00 gamma=90.00
Space group P4/mmm (No. 123)
Symmetry-distinct sites (fractional):
La: 0.000 0.000 0.000 x1
La: 0.000 0.000 0.250 x2
Nd: 0.000 0.000 0.500 x1
Dy: 0.000 0.500 0.125 x4
Dy: 0.000 0.500 0.376 x4
Dy: 0.500 0.500 0.000 x1
Dy: 0.500 0.500 0.251 x2
Dy: 0.500 0.500 0.500 x1

=====

La3Nd2Dy5 after structural relaxation. Source: Alexandria via LeMat-Bulk, functional PBE.

Properties
E_form   170.3 meV per atom
Magnetic moment   0.0 μB/cell

Unit cell a=10.740 b=16.984 c=9.204 alpha=90.00 beta=125.61 gamma=90.00
Space group C2/c (No. 15)
Symmetry-distinct sites (fractional):
La: 0.000 0.230 0.250 x4
La: 0.147 0.125 0.046 x8
Nd: 0.145 0.381 0.538 x8
Dy: 0.000 0.027 0.250 x4
Dy: 0.000 0.276 0.750 x4
Dy: 0.000 0.470 0.750 x4
Dy: 0.245 0.386 0.239 x8

=====

LaNd4Dy8 after structural relaxation. Source: Alexandria via LeMat-Bulk, functional PBE.

Properties
E_form   514.6 meV per atom
Magnetic moment   2.0 μB/cell

Unit cell a=7.856 b=7.856 c=7.856 alpha=90.00 beta=90.00 gamma=90.00
Space group Pm-3m (No. 221)
Symmetry-distinct sites (fractional):
La: 0.000 0.000 0.000 x1
Nd: 0.000 0.000 0.500 x3
Nd: 0.500 0.500 0.500 x1
Dy: 0.261 0.261 0.261 x8

=====

La8NdDy4 after structural relaxation. Source: Alexandria via LeMat-Bulk, functional PBE.

Properties
E_form   149.3 meV per atom
Magnetic moment   0.0 μB/cell

Unit cell a=7.3219 b=7.3219 c=29.6215 alpha=90.00 beta=90.00 gamma=120.00
Space group R-3m (No. 166, hexagonal axes)
Symmetry-distinct sites (fractional):
La: 0.0000 0.0000 0.2116 x6
La: 0.0353 0.5177 0.7638 x18
Nd: 0.0000 0.0000 0.5000 x3
Dy: 0.0000 0.0000 0.0000 x3
Dy: 0.0000 0.5000 0.0000 x9

=====

La3Nd3Dy4 after structural relaxation. Source: Alexandria via LeMat-Bulk, functional PBE.

Properties
E_form   87.4 meV per atom
Magnetic moment   0.9 μB/cell

Unit cell a=3.684 b=13.844 c=13.841 alpha=90.00 beta=90.00 gamma=90.00
Space group Amm2 (No. 38)
Symmetry-distinct sites (fractional):
La: 0.000 0.000 0.000 x2
La: 0.500 0.249 0.576 x4
Nd: 0.000 0.000 0.650 x2
Nd: 0.000 0.174 0.325 x4
Dy: 0.500 0.000 0.204 x2
Dy: 0.500 0.000 0.447 x2
Dy: 0.500 0.122 0.823 x4

=====

LaNd4Dy6 after structural relaxation. Source: Alexandria via LeMat-Bulk, functional PBE.

Properties
E_form   146.8 meV per atom
Magnetic moment   0.0 μB/cell
Offset from the most stable computed form   0.035 eV/atom

Unit cell a=11.0906 b=11.0906 c=3.5617 alpha=90.00 beta=90.00 gamma=120.00
Space group P-6m2 (No. 187)
Symmetry-distinct sites (fractional):
La: 0.0000 0.0000 0.0000 x1
Nd: 0.3333 0.6667 0.0000 x1
Nd: 0.3958 0.1979 0.5000 x3
Dy: 0.0072 0.5036 0.0000 x3
Dy: 0.1711 0.3421 0.5000 x3

=====

La2Nd2Dy3 after structural relaxation. Source: Alexandria via LeMat-Bulk, functional PBE.

Properties
E_form   21.3 meV per atom
Magnetic moment   0.0 μB/cell
Offset from the most stable computed form   0.000 eV/atom

Unit cell a=6.283 b=6.317 c=12.644 alpha=99.72 beta=99.72 gamma=99.45
Space group P-1 (No. 2)
Symmetry-distinct sites (fractional):
La: 0.069 0.142 0.140 x2
La: 0.073 0.142 0.644 x2
Nd: 0.217 0.429 0.429 x2
Nd: 0.358 0.715 0.212 x2
Dy: 0.218 0.431 0.930 x2
Dy: 0.359 0.714 0.715 x2
Dy: 0.500 0.000 0.000 x1
Dy: 0.500 0.000 0.500 x1

=====

La2NdDy5 after structural relaxation. Source: Alexandria via LeMat-Bulk, functional PBE.

Properties
E_form   60.5 meV per atom
Magnetic moment   0.0 μB/cell
Offset from the most stable computed form   0.034 eV/atom

Unit cell a=3.564 b=11.301 c=13.306 alpha=90.00 beta=90.00 gamma=90.00
Space group Immm (No. 71)
Symmetry-distinct sites (fractional):
La: 0.000 0.000 0.242 x4
Nd: 0.000 0.500 0.500 x2
Dy: 0.000 0.000 0.500 x2
Dy: 0.000 0.267 0.129 x8

=====

La4NdDy after structural relaxation. Source: Alexandria via LeMat-Bulk, functional PBE.

Properties
E_form   97.3 meV per atom
Magnetic moment   0.0 μB/cell
Offset from the most stable computed form   0.079 eV/atom

Unit cell a=6.157 b=11.343 c=6.150 alpha=90.00 beta=90.00 gamma=90.00
Space group Cmmm (No. 65)
Symmetry-distinct sites (fractional):
La: 0.000 0.158 0.000 x4
La: 0.000 0.341 0.500 x4
Nd: 0.000 0.500 0.000 x2
Dy: 0.000 0.000 0.500 x2

=====

LaNd2Dy4 after structural relaxation. Source: Alexandria via LeMat-Bulk, functional PBE.

Properties
E_form   638.6 meV per atom
Magnetic moment   0.0 μB/cell
Offset from the most stable computed form   0.318 eV/atom

Unit cell a=5.602 b=5.602 c=17.057 alpha=90.00 beta=90.00 gamma=90.00
Space group I4/mmm (No. 139)
Symmetry-distinct sites (fractional):
La: 0.000 0.000 0.000 x2
Nd: 0.000 0.000 0.380 x4
Dy: 0.000 0.000 0.177 x4
Dy: 0.000 0.500 0.000 x4

=====

La6Nd12Dy after structural relaxation. Source: Alexandria via LeMat-Bulk, functional PBE.

Properties
E_form   274.1 meV per atom
Magnetic moment   0.0 μB/cell
Offset from the most stable computed form   0.159 eV/atom

Unit cell a=16.7359 b=16.7359 c=8.6010 alpha=90.00 beta=90.00 gamma=120.00
Space group R-3m (No. 166, hexagonal axes)
Symmetry-distinct sites (fractional):
La: 0.0850 0.1700 0.1487 x18
Nd: 0.0000 0.3781 0.0000 x18
Nd: 0.0927 0.5463 0.3155 x18
Dy: 0.0000 0.0000 0.5000 x3

=====

La2Nd8Dy after structural relaxation. Source: Alexandria via LeMat-Bulk, functional PBE.

Properties
E_form   118.2 meV per atom
Magnetic moment   0.0 μB/cell
Offset from the most stable computed form   0.000 eV/atom

Unit cell a=11.402 b=7.535 c=9.548 alpha=90.00 beta=107.11 gamma=90.00
Space group C2/m (No. 12)
Symmetry-distinct sites (fractional):
La: 0.141 0.000 0.133 x4
Nd: 0.066 0.285 0.769 x8
Nd: 0.181 0.500 0.127 x4
Nd: 0.192 0.500 0.497 x4
Dy: 0.000 0.000 0.500 x2

=====

La6NdDy12 after structural relaxation. Source: Alexandria via LeMat-Bulk, functional PBE.

Properties
E_form   214.0 meV per atom
Magnetic moment   0.0 μB/cell

Unit cell a=13.4048 b=13.4048 c=12.7540 alpha=90.00 beta=90.00 gamma=120.00
Space group R-3m (No. 166, hexagonal axes)
Symmetry-distinct sites (fractional):
La: 0.0381 0.5191 0.1151 x18
Nd: 0.0000 0.0000 0.5000 x3
Dy: 0.0000 0.2543 0.0000 x18
Dy: 0.0918 0.1837 0.7638 x18

=====

LaNd2Dy8 after structural relaxation. Source: Alexandria via LeMat-Bulk, functional PBE.

Properties
E_form   169.4 meV per atom
Magnetic moment   0.0 μB/cell
Offset from the most stable computed form   0.015 eV/atom

Unit cell a=16.577 b=6.690 c=6.734 alpha=90.00 beta=99.34 gamma=90.00
Space group C2/m (No. 12)
Symmetry-distinct sites (fractional):
La: 0.000 0.000 0.000 x2
Nd: 0.243 0.000 0.298 x4
Dy: 0.088 0.500 0.906 x4
Dy: 0.090 0.265 0.409 x8
Dy: 0.206 0.000 0.793 x4

=====

La4NdDy after structural relaxation. Source: Alexandria via LeMat-Bulk, functional PBE.

Properties
E_form   18.4 meV per atom
Magnetic moment   0.0 μB/cell
Offset from the most stable computed form   0.000 eV/atom

Unit cell a=3.683 b=5.247 c=11.048 alpha=90.00 beta=90.00 gamma=90.00
Space group Pmmm (No. 47)
Symmetry-distinct sites (fractional):
La: 0.000 0.000 0.167 x2
La: 0.500 0.500 0.328 x2
Nd: 0.000 0.000 0.500 x1
Dy: 0.500 0.500 0.000 x1

=====

LaNd2Dy after structural relaxation. Source: Alexandria via LeMat-Bulk, functional PBE.

Properties
E_form   18.2 meV per atom
Magnetic moment   0.0 μB/cell
Offset from the most stable computed form   0.002 eV/atom

Unit cell a=3.6632 b=3.6632 c=35.9237 alpha=90.00 beta=90.00 gamma=120.00
Space group R-3m (No. 166, hexagonal axes)
Symmetry-distinct sites (fractional):
La: 0.0000 0.0000 0.0000 x3
Nd: 0.0000 0.0000 0.2478 x6
Dy: 0.0000 0.0000 0.5000 x3

=====

LaNdDy4 after structural relaxation. Source: Alexandria via LeMat-Bulk, functional PBE.

Properties
E_form   24.9 meV per atom
Magnetic moment   0.0 μB/cell
Offset from the most stable computed form   0.000 eV/atom

Unit cell a=5.083 b=6.235 c=7.217 alpha=106.85 beta=90.07 gamma=114.00
Space group P-1 (No. 2)
Symmetry-distinct sites (fractional):
La: 0.000 0.000 0.000 x1
Nd: 0.000 0.000 0.500 x1
Dy: 0.331 0.662 0.665 x2
Dy: 0.332 0.665 0.167 x2

=====

La2Nd7Dy after structural relaxation. Source: Alexandria via LeMat-Bulk, functional PBE.

Properties
E_form   139.8 meV per atom
Magnetic moment   0.0 μB/cell

Unit cell a=6.817 b=29.652 c=3.519 alpha=90.00 beta=90.00 gamma=90.00
Space group Cmmm (No. 65)
Symmetry-distinct sites (fractional):
La: 0.000 0.204 0.000 x4
Nd: 0.000 0.000 0.000 x2
Nd: 0.000 0.312 0.500 x4
Nd: 0.244 0.402 0.000 x8
Dy: 0.000 0.500 0.500 x2

=====

LaNd3Dy7 after structural relaxation. Source: Alexandria via LeMat-Bulk, functional PBE.

Properties
E_form   140.5 meV per atom
Magnetic moment   0.0 μB/cell
Offset from the most stable computed form   0.000 eV/atom

Unit cell a=7.025 b=5.584 c=10.072 alpha=90.00 beta=109.81 gamma=90.00
Space group P2/m (No. 10)
Symmetry-distinct sites (fractional):
La: 0.000 0.000 0.000 x1
Nd: 0.282 0.500 0.499 x2
Nd: 0.500 0.000 0.000 x1
Dy: 0.000 0.000 0.500 x1
Dy: 0.144 0.500 0.788 x2
Dy: 0.323 0.500 0.140 x2
Dy: 0.419 0.000 0.330 x2

=====

La3NdDy7 after structural relaxation. Source: Alexandria via LeMat-Bulk, functional PBE.

Properties
E_form   213.7 meV per atom
Magnetic moment   0.0 μB/cell
Offset from the most stable computed form   0.000 eV/atom

Unit cell a=11.732 b=10.133 c=6.436 alpha=90.00 beta=94.54 gamma=90.00
Space group C2/m (No. 12)
Symmetry-distinct sites (fractional):
La: 0.000 0.000 0.000 x2
La: 0.000 0.179 0.500 x4
Nd: 0.000 0.500 0.000 x2
Dy: 0.000 0.500 0.500 x2
Dy: 0.239 0.000 0.708 x4
Dy: 0.242 0.330 0.763 x8